Here is a relaxed Sm2GePd6 crystal from the Alexandria database. Energies are from GGA-PBE.

- excess energy over the best structure of this formula in the dataset (eV per atom) = 0.261
- formation energy from the elements (eV per atom) = -0.517
- calculated total energy (eV per cell) = -49.86

Lattice parameters (Å, degrees): 7.5641 7.5641 3.8905 104.32 104.32 60.61
Closest atoms and distances in Å follow each position.
Element x y z (fractional)
Sm 0.1510 0.1510 0.1367  8 Pd 2.84-2.96
Sm 0.8490 0.8490 0.8633  8 Pd 2.84-2.96
Ge 0.5000 0.5000 0.5000  8 Pd 2.48-2.60
Pd 0.1260 0.5485 0.3445  1 Ge 2.60, 2 Pd 2.81-2.82, 1 Sm 2.84
Pd 0.2978 0.7022 0.0000  2 Ge 2.48
Pd 0.4515 0.8740 0.6555  1 Ge 2.60, 2 Pd 2.81-2.82, 1 Sm 2.84
Pd 0.5485 0.1260 0.3445  1 Ge 2.60, 2 Pd 2.81-2.82, 1 Sm 2.84
Pd 0.7022 0.2978 0.0000  2 Ge 2.48
Pd 0.8740 0.4515 0.6555  1 Ge 2.60, 2 Pd 2.81-2.82, 1 Sm 2.84

---

Here is a relaxed Sm2Ge4Pd3 crystal from the Alexandria database. Energies are from GGA-PBE.

- formation energy from the elements (eV per atom) = -0.757
- calculated total energy (eV per cell) = -100.59

Lattice parameters (Å, degrees): 8.1757 8.1757 7.5875 90.00 90.00 138.14
Closest atoms and distances in Å follow each position.
Element x y z (fractional)
Sm 0.1086 0.8914 0.9095  8 Ge 3.07-3.33, 4 Pd 3.18-3.43
Sm 0.3914 0.6086 0.4095  8 Ge 3.07-3.33, 4 Pd 3.18-3.43
Sm 0.6086 0.3914 0.5905  8 Ge 3.07-3.33, 4 Pd 3.18-3.43
Sm 0.8914 0.1086 0.0905  8 Ge 3.07-3.33, 4 Pd 3.18-3.43
Ge 0.1810 0.8190 0.5269  5 Pd 2.64-2.77
Ge 0.1921 0.3079 0.7500  3 Pd 2.54-2.55
Ge 0.3079 0.1921 0.2500  3 Pd 2.54-2.55
Ge 0.3190 0.6810 0.0269  5 Pd 2.64-2.77
Ge 0.6810 0.3190 0.9731  5 Pd 2.64-2.77
Ge 0.6921 0.8079 0.7500  3 Pd 2.54-2.55
Ge 0.8079 0.6921 0.2500  3 Pd 2.54-2.55
Ge 0.8190 0.1810 0.4731  5 Pd 2.64-2.77
Pd 0.0000 0.0000 0.5000  6 Ge 2.55-2.77
Pd 0.0257 0.4743 0.7500  5 Ge 2.54-2.66
Pd 0.4743 0.0257 0.2500  5 Ge 2.54-2.66
Pd 0.5000 0.5000 0.0000  6 Ge 2.55-2.77
Pd 0.5257 0.9743 0.7500  5 Ge 2.54-2.66
Pd 0.9743 0.5257 0.2500  5 Ge 2.54-2.66

---

Here is a relaxed Sm2Ge5Pd3 crystal from the Alexandria database. Energies are from GGA-PBE.

- formation energy from the elements (eV per atom) = -0.735
- calculated total energy (eV per cell) = -110.90

Lattice parameters (Å, degrees): 8.5089 8.5089 8.5089 105.70 89.68 137.31
Closest atoms and distances in Å follow each position.
Element x y z (fractional)
Sm 0.1302 0.2303 0.3605  10 Ge 3.07-3.37, 3 Pd 3.21-3.34
Sm 0.3698 0.7303 0.1001  10 Ge 3.07-3.37, 3 Pd 3.21-3.34
Sm 0.6302 0.2697 0.8999  10 Ge 3.07-3.37, 3 Pd 3.21-3.34
Sm 0.8698 0.7697 0.6395  10 Ge 3.07-3.37, 3 Pd 3.21-3.34
Ge 0.0253 0.7500 0.2753  3 Pd 2.51-2.71, 2 Ge 2.66
Ge 0.1057 0.6568 0.7625  3 Pd 2.43-2.57, 2 Ge 2.66
Ge 0.2500 0.2500 0.0000  4 Pd 2.57
Ge 0.3943 0.1568 0.5512  3 Pd 2.43-2.57, 2 Ge 2.66
Ge 0.4747 0.7500 0.7247  3 Pd 2.51-2.71, 2 Ge 2.66
Ge 0.5253 0.2500 0.2753  3 Pd 2.51-2.71, 2 Ge 2.66
Ge 0.6057 0.8432 0.4488  3 Pd 2.43-2.57, 2 Ge 2.66
Ge 0.7500 0.7500 0.0000  4 Pd 2.57
Ge 0.8943 0.3432 0.2375  3 Pd 2.43-2.57, 2 Ge 2.66
Ge 0.9747 0.2500 0.7247  3 Pd 2.51-2.71, 2 Ge 2.66
Pd 0.1410 0.8896 0.0306  5 Ge 2.43-2.57
Pd 0.2500 0.7500 0.5000  6 Ge 2.57-2.71
Pd 0.3590 0.3896 0.7486  5 Ge 2.43-2.57
Pd 0.6410 0.6104 0.2514  5 Ge 2.43-2.57
Pd 0.7500 0.2500 0.5000  6 Ge 2.57-2.71
Pd 0.8590 0.1104 0.9694  5 Ge 2.43-2.57

---

- The highest formation energy from the elements belongs to which entry?
  Sm2GePd6

---

- Which of these has the lowest formation energy from the elements?
  Sm2Ge4Pd3

---

- Which formula does entry 3 have?
  Sm2Ge5Pd3

---

- calculated total energy of number 2 (Sm2Ge4Pd3)?
  -100.59 eV per cell